No. 1
Computed, not measured: a geometry-optimized ScTa2AgPb structure at the GGA-PBEsol level of DFT.

abc: 4.789 4.789 4.998
angles: 90.00 90.00 90.00
Fractional positions:
Sc (0.000, 0.000, 0.000)
Ta (0.000, 0.500, 0.000)
Ta (0.500, 0.000, 0.000)
Ag (0.000, 0.000, 0.500)
Pb (0.500, 0.500, 0.500)

Output
The uncorrected energy is -31.0 eV per cell. Its density of states at the Fermi level is 4.37 states/eV per cell. The value obtained for the spin magnetization is 0.00 μB per formula unit. The value obtained for the formation energy is 155.5 kJ/mol of atoms.

=====

No. 2
Computed, not measured: a geometry-optimized Cd2TeW structure at the GGA-PBEsol level of DFT.

abc: 5.237 5.237 5.237
angles: 131.18 131.18 71.52
Fractional positions:
Cd (0.000, 0.000, 0.000)
Cd (0.750, 0.250, 0.500)
Te (0.500, 0.500, 0.000)
W (0.250, 0.750, 0.500)

Output
The uncorrected energy is -16.7 eV per cell. The calculation puts the raw formation energy at 73.7 kJ/mol of atoms. Its density of states at the Fermi level is 3.42 states/eV per cell. The value obtained for the spin magnetization is 1.22 μB per formula unit.

=====

No. 3
Computed, not measured: a geometry-optimized Hf9SiMo4 structure at the GGA-PBEsol level of DFT.

abc: 8.523 8.523 8.605
angles: 90.00 90.00 120.00
Fractional positions:
Hf (0.074, 0.537, 0.250)
Hf (0.198, 0.396, 0.544)
Hf (0.198, 0.396, 0.956)
Hf (0.198, 0.802, 0.544)
Hf (0.198, 0.802, 0.956)
Hf (0.396, 0.198, 0.044)
Hf (0.396, 0.198, 0.456)
Hf (0.463, 0.537, 0.250)
Hf (0.463, 0.926, 0.250)
Hf (0.537, 0.074, 0.750)
Hf (0.537, 0.463, 0.750)
Hf (0.604, 0.802, 0.544)
Hf (0.604, 0.802, 0.956)
Hf (0.802, 0.198, 0.044)
Hf (0.802, 0.198, 0.456)
Hf (0.802, 0.604, 0.044)
Hf (0.802, 0.604, 0.456)
Hf (0.926, 0.463, 0.750)
Si (0.333, 0.667, 0.750)
Si (0.667, 0.333, 0.250)
Mo (0.000, 0.000, 0.000)
Mo (0.000, 0.000, 0.500)
Mo (0.110, 0.220, 0.250)
Mo (0.110, 0.890, 0.250)
Mo (0.220, 0.110, 0.750)
Mo (0.780, 0.890, 0.250)
Mo (0.890, 0.110, 0.750)
Mo (0.890, 0.780, 0.750)

Output
The uncorrected energy is -301.0 eV per cell. The calculation puts the raw formation energy at -21.6 kJ/mol of atoms. Its density of states at the Fermi level is 20.54 states/eV per cell. The value obtained for the spin magnetization is 0.00 μB per formula unit.

=====

No. 4
Computed, not measured: a geometry-optimized Cd2MoCl structure at the GGA-PBEsol level of DFT.

abc: 2.886 4.698 5.415
angles: 90.00 90.00 90.00
Fractional positions:
Cd (0.000, 0.000, 0.000)
Cd (0.500, 0.500, 0.000)
Mo (0.000, 0.500, 0.500)
Cl (0.500, 0.000, 0.500)

Output
The uncorrected energy is -14.2 eV per cell. As for the energy above the lowest structure with this stoichiometry: 115 meV per atom. The calculation puts the raw formation energy at 47.5 kJ/mol of atoms. Its density of states at the Fermi level is 2.91 states/eV per cell. The value obtained for the spin magnetization is 1.07 μB per formula unit.

=====

No. 5
Computed, not measured: a geometry-optimized HgPbI3 structure at the GGA-PBEsol level of DFT.

abc: 6.041 6.041 6.041
angles: 90.00 90.00 90.00
Fractional positions:
Hg (0.000, 0.000, 0.000)
Pb (0.500, 0.500, 0.500)
I (0.000, 0.500, 0.500)
I (0.500, 0.000, 0.500)
I (0.500, 0.500, 0.000)

Output
The uncorrected energy is -10.2 eV per cell. The calculation puts the raw formation energy at -7.4 kJ/mol of atoms. Its density of states at the Fermi level is 7.14 states/eV per cell. The value obtained for the spin magnetization is 0.00 μB per formula unit.

=====

No. 6
Computed, not measured: a geometry-optimized RuAuCl2 structure at the GGA-PBEsol level of DFT.

abc: 6.434 6.434 6.434
angles: 154.25 136.54 51.21
Fractional positions:
Ru (0.000, 0.000, 0.000)
Au (0.500, 0.500, 0.000)
Cl (0.161, 0.661, 0.500)
Cl (0.839, 0.339, 0.500)

Output
The uncorrected energy is -17.9 eV per cell. As for the energy above the lowest structure with this stoichiometry: 0 meV per atom. The calculation puts the raw formation energy at 6.2 kJ/mol of atoms. Its density of states at the Fermi level is 3.23 states/eV per cell. The value obtained for the spin magnetization is 0.00 μB per formula unit.